PaInHg | GGA-PBE | relaxed

Final energy (hartree per atom): -0.1511
DOS(E_F) (states/eV/atom): 1.382
Spin magnetization (μB/f.u.): 0.7
ΔE_f (eV per atom): 0.066
Polymorph energy (0 for the lowest one) (eV/f.u.): 0.17

a = 7.6616 Å, b = 7.6616 Å, c = 7.6616 Å
α = 156.28°, β = 156.28°, γ = 33.80°
Fractional coordinates of all 3 atoms:
1 Pa 0.0000 0.0000 0.0000
2 In 0.3311 0.3311 0.0000
3 Hg 0.6669 0.6669 0.0000